Entry from the Alexandria database: a geometry-optimized CoSb2Br structure (PBEsol).

a b c (Å): 3.2102 3.2105 7.9985
angles (deg): 90.00 90.08 90.00
Last column: nearest neighbours and their distance in Å.
Fractional positions:
Co (0.5000, 0.5000, 0.5000)  8 Sb 2.74
Br (0.5000, 0.5000, 0.0000)  4 Br 3.21, 8 Sb 3.34-3.35
Sb (0.0009, 0.0000, 0.6926)  4 Co 2.74
Sb (0.9991, 0.0000, 0.3074)  4 Co 2.74

Offset from the most stable computed form ... 0.1718 eV per atom
Uncorrected formation energy ... 0.1 eV/f.u.